# 1
# Hf2ZrSc3

Hf2ZrSc3 after structural relaxation (GGA-PBE, Alexandria via LeMat-Bulk).

Computed properties:
- Energy above the lowest structure with this stoichiometry: 0.00 eV/f.u.
- Size of the total moment: 0.00 μB per cell
- DOS at the Fermi energy: 1.61 states/eV/atom
- Crystal system: monoclinic

a b c (Å): 5.0685 8.6169 6.5482
angles (deg): 78.21 90.00 90.00
Element x y z (fractional)
Zr 0.9930 0.7754 0.8006
Zr 0.4930 0.2246 0.1994
Sc 0.9930 0.4459 0.6437
Sc 0.9930 0.1146 0.9776
Sc 0.4930 0.8854 0.0224
Sc 0.4930 0.2190 0.6885
Sc 0.9930 0.7810 0.3115
Sc 0.4930 0.5541 0.3563
Hf 0.4930 0.5558 0.8654
Hf 0.9930 0.4442 0.1346
Hf 0.9930 0.1083 0.4703
Hf 0.4930 0.8917 0.5297

# 2
# Hf4ZrSc2

Hf4ZrSc2 after structural relaxation (GGA-PBE, Alexandria via LeMat-Bulk).

Computed properties:
- Size of the total moment: 0.00 μB per cell
- DOS at the Fermi energy: 1.33 states/eV/atom
- Crystal system: orthorhombic
- Calculated total energy: -59.6 eV/cell

a b c (Å): 3.0457 5.1627 10.8490
angles (deg): 103.76 90.00 90.00
Element x y z (fractional)
Zr 0.0000 0.5000 0.0000
Hf 0.0000 0.0797 0.1593
Hf 0.5000 0.3691 0.7381
Hf 0.5000 0.6309 0.2619
Hf 0.0000 0.9203 0.8407
Sc 0.5000 0.2076 0.4151
Sc 0.5000 0.7924 0.5849

# 3
# Hf5Zr2Sc2

Hf5Zr2Sc2 after structural relaxation (GGA-PBE, Alexandria via LeMat-Bulk).

Computed properties:
- Size of the total moment: 0.00 μB per cell
- DOS at the Fermi energy: 1.17 states/eV/atom
- Crystal system: triclinic
- Calculated total energy: -78.8 eV/cell

a b c (Å): 3.1406 9.8782 11.2422
angles (deg): 138.59 68.93 115.40
Element x y z (fractional)
Zr 0.4325 0.6786 0.0280
Zr 0.5675 0.3214 0.9720
Hf 0.7918 0.4327 0.2944
Hf 0.0000 0.0000 0.0000
Hf 0.3480 0.2165 0.6490
Hf 0.2082 0.5673 0.7056
Hf 0.6520 0.7835 0.3510
Sc 0.1405 0.1128 0.3263
Sc 0.8595 0.8872 0.6737